PBE Ba2DyHgO4, optimized geometry; Fermi-level density of states = 3.74 states/eV/f.u.; formation energy from raw total energies = -2.1919 eV per atom
1.0
5.717 0.000 0.000
0.000 5.717 0.000
0.000 0.000 11.644
Ba Dy Hg O
4 2 2 8
Direct
0.000 0.000 0.000
0.000 0.500 0.250
0.500 0.000 0.750
0.500 0.500 0.500
0.000 0.000 0.500
0.500 0.500 0.000
0.000 0.500 0.750
0.500 0.000 0.250
0.211 0.226 0.392
0.226 0.789 0.608
0.274 0.711 0.108
0.289 0.274 0.892
0.711 0.726 0.892
0.726 0.289 0.108
0.774 0.211 0.608
0.789 0.774 0.392



PBE BaDy2Hg2Pb2, optimized geometry; Fermi-level density of states = 7.53 states/eV/f.u.; energy relative to the elements = -214 kJ/mol of formula units
1.0
2.591 1.496 9.635
-2.591 1.496 9.635
0.000 -2.992 9.635
Ba Dy Hg Pb
1 2 2 2
Direct
0.000 0.000 0.000
0.136 0.136 0.136
0.864 0.864 0.864
0.444 0.444 0.444
0.556 0.556 0.556
0.257 0.257 0.257
0.743 0.743 0.743



PBE Ba2DyHgSe5, optimized geometry; Fermi-level density of states = 6.32 states/eV/f.u.; formation energy from raw total energies = -1.4434 eV per atom
1.0
2.155 -9.593 0.000
2.155 9.593 0.000
0.000 0.000 13.306
Ba Dy Hg Se
4 2 2 10
Direct
0.119 0.881 0.500
0.132 0.868 0.127
0.868 0.132 0.627
0.881 0.119 0.000
0.207 0.793 0.823
0.793 0.207 0.323
0.458 0.542 0.255
0.542 0.458 0.755
0.055 0.945 0.872
0.293 0.707 0.468
0.308 0.692 0.177
0.353 0.647 0.817
0.495 0.505 0.574
0.505 0.495 0.074
0.647 0.353 0.317
0.692 0.308 0.677
0.707 0.293 0.968
0.945 0.055 0.372



PBE BaDySnHg, optimized geometry; Fermi-level density of states = 3.84 states/eV/f.u.; energy relative to the elements = -173 kJ/mol of formula units
1.0
7.968 0.000 0.000
0.000 7.968 0.000
0.000 0.000 7.968
Ba Dy Sn Hg
4 4 4 4
Direct
0.000 0.000 0.000
0.000 0.500 0.500
0.500 0.000 0.500
0.500 0.500 0.000
0.000 0.000 0.500
0.000 0.500 0.000
0.500 0.000 0.000
0.500 0.500 0.500
0.250 0.250 0.750
0.250 0.750 0.250
0.750 0.250 0.250
0.750 0.750 0.750
0.250 0.250 0.250
0.250 0.750 0.750
0.750 0.250 0.750
0.750 0.750 0.250



PBE BaDyZnHg, optimized geometry; Fermi-level density of states = 2.19 states/eV/f.u.; energy relative to the elements = -84 kJ/mol of formula units
1.0
7.796 0.000 0.000
0.000 7.796 0.000
0.000 0.000 7.796
Ba Dy Zn Hg
4 4 4 4
Direct
0.000 0.000 0.000
0.000 0.500 0.500
0.500 0.000 0.500
0.500 0.500 0.000
0.000 0.000 0.500
0.000 0.500 0.000
0.500 0.000 0.000
0.500 0.500 0.500
0.250 0.250 0.750
0.250 0.750 0.250
0.750 0.250 0.250
0.750 0.750 0.750
0.250 0.250 0.250
0.250 0.750 0.750
0.750 0.250 0.750
0.750 0.750 0.250



PBE BaDy2Ho, optimized geometry; Fermi-level density of states = 5.18 states/eV/f.u.; energy relative to the elements = 87 kJ/mol of formula units
1.0
3.595 0.000 0.000
-1.798 3.114 0.000
0.000 0.000 38.444
Ba Dy Ho
3 6 3
Direct
0.000 0.000 0.000
0.333 0.667 0.667
0.667 0.333 0.333
0.000 0.000 0.094
0.000 0.000 0.906
0.333 0.667 0.573
0.333 0.667 0.761
0.667 0.333 0.239
0.667 0.333 0.427
0.000 0.000 0.500
0.333 0.667 0.167
0.667 0.333 0.833



PBE BaDyHo2, optimized geometry; Fermi-level density of states = 5.45 states/eV/f.u.; energy relative to the elements = 89 kJ/mol of formula units
1.0
3.589 0.000 0.000
-1.795 3.108 0.000
0.000 0.000 38.403
Ba Dy Ho
3 3 6
Direct
0.000 0.000 0.000
0.333 0.667 0.667
0.667 0.333 0.333
0.000 0.000 0.500
0.333 0.667 0.167
0.667 0.333 0.833
0.000 0.000 0.094
0.000 0.000 0.906
0.333 0.667 0.573
0.333 0.667 0.760
0.667 0.333 0.240
0.667 0.333 0.427



PBE BaDyHo, optimized geometry; distance to the lowest polymorph of the same formula = 0 meV/atom; Fermi-level density of states = 5.51 states/eV/f.u.; energy relative to the elements = 57 kJ/mol of formula units
1.0
3.766 0.000 0.000
0.000 3.766 0.000
0.000 0.000 16.322
Ba Dy Ho
2 2 2
Direct
0.000 0.000 0.000
0.500 0.500 0.500
0.000 0.000 0.318
0.500 0.500 0.818
0.000 0.000 0.682
0.500 0.500 0.182



PBE BaDyHo, optimized geometry; distance to the lowest polymorph of the same formula = 62 meV/atom; Fermi-level density of states = 5.18 states/eV/f.u.; energy relative to the elements = 75 kJ/mol of formula units
1.0
12.356 0.000 0.000
0.000 5.132 0.000
-2.300 0.000 7.160
Ba Dy Ho
4 4 4
Direct
0.000 0.000 0.250
0.000 0.000 0.750
0.500 0.500 0.250
0.500 0.500 0.750
0.181 0.500 0.091
0.319 0.000 0.909
0.681 0.000 0.091
0.819 0.500 0.909
0.181 0.500 0.591
0.319 0.000 0.409
0.681 0.000 0.591
0.819 0.500 0.409



PBE Ba2DyHoSe4, optimized geometry; Fermi-level density of states = 3.75 states/eV/f.u.; formation energy from raw total energies = -1.8710 eV per atom
1.0
7.398 0.000 0.000
0.000 4.284 0.000
-2.482 0.000 7.385
Ba Dy Ho Se
2 1 1 4
Direct
0.000 0.000 0.000
0.500 0.500 0.000
0.000 0.500 0.500
0.500 0.000 0.500
0.238 0.000 0.711
0.264 0.500 0.289
0.736 0.500 0.711
0.762 0.000 0.289



PBE BaDyHo4Se8, optimized geometry; Fermi-level density of states = 4.19 states/eV/f.u.; formation energy from raw total energies = -1.7647 eV per atom
1.0
4.288 2.476 7.019
-4.288 2.476 7.019
0.000 -4.951 7.019
Ba Dy Ho Se
1 1 4 8
Direct
0.000 0.000 0.000
0.627 0.627 0.627
0.121 0.627 0.627
0.251 0.251 0.251
0.627 0.121 0.627
0.627 0.627 0.121
0.382 0.382 0.854
0.382 0.854 0.382
0.383 0.383 0.383
0.428 0.859 0.859
0.854 0.382 0.382
0.858 0.858 0.858
0.859 0.428 0.859
0.859 0.859 0.428



PBE Ba3DyHo3Se8, optimized geometry; Fermi-level density of states = 3.41 states/eV/f.u.; formation energy from raw total energies = -1.9193 eV per atom
1.0
4.200 2.425 7.526
-4.200 2.425 7.526
0.000 -4.849 7.526
Ba Dy Ho Se
3 1 3 8
Direct
0.000 0.500 0.500
0.500 0.000 0.500
0.500 0.500 0.000
0.500 0.500 0.500
0.000 0.000 0.500
0.000 0.500 0.000
0.500 0.000 0.000
0.234 0.738 0.738
0.237 0.237 0.237
0.262 0.262 0.766
0.262 0.766 0.262
0.738 0.234 0.738
0.738 0.738 0.234
0.763 0.763 0.763
0.766 0.262 0.262



PBE Ba2DyI, optimized geometry; Fermi-level density of states = 5.25 states/eV/f.u.; formation energy from raw total energies = -0.2085 eV per atom
1.0
4.038 0.000 0.000
-2.019 3.497 0.000
0.000 0.000 37.988
Ba Dy I
6 3 3
Direct
0.000 0.000 0.096
0.000 0.000 0.904
0.333 0.667 0.571
0.333 0.667 0.763
0.667 0.333 0.237
0.667 0.333 0.429
0.000 0.000 0.000
0.333 0.667 0.667
0.667 0.333 0.333
0.000 0.000 0.500
0.333 0.667 0.167
0.667 0.333 0.833



PBE BaDyInI6, optimized geometry; Fermi-level density of states = 0.00 states/eV/f.u.; formation energy from raw total energies = -1.3013 eV per atom
1.0
8.426 0.000 0.000
-4.213 7.297 0.000
0.000 0.000 14.710
Ba Dy In I
2 2 2 12
Direct
0.333 0.667 0.250
0.667 0.333 0.750
0.333 0.667 0.750
0.667 0.333 0.250
0.000 0.000 0.000
0.000 0.000 0.500
0.039 0.374 0.629
0.039 0.664 0.871
0.336 0.374 0.871
0.336 0.961 0.629
0.374 0.039 0.129
0.374 0.336 0.371
0.626 0.664 0.629
0.626 0.961 0.871
0.664 0.039 0.371
0.664 0.626 0.129
0.961 0.336 0.129
0.961 0.626 0.371



PBE BaDyIO6, optimized geometry; Fermi-level density of states = 0.00 states/eV/f.u.; formation energy from raw total energies = -1.9040 eV per atom
1.0
5.680 0.000 0.000
-2.840 4.919 0.000
0.000 0.000 5.610
Ba Dy I O
1 1 1 6
Direct
0.000 0.000 0.000
0.333 0.667 0.500
0.667 0.333 0.500
0.402 0.047 0.695
0.402 0.355 0.305
0.645 0.047 0.305
0.645 0.598 0.695
0.953 0.355 0.695
0.953 0.598 0.305



PBE Ba2DyIO6, optimized geometry; Fermi-level density of states = 0.00 states/eV/f.u.; formation energy from raw total energies = -2.1772 eV per atom
1.0
0.000 4.349 4.349
4.349 0.000 4.349
4.349 4.349 0.000
Ba Dy I O
2 1 1 6
Direct
0.250 0.250 0.250
0.750 0.750 0.750
0.000 0.000 0.000
0.500 0.500 0.500
0.257 0.257 0.743
0.257 0.743 0.257
0.257 0.743 0.743
0.743 0.257 0.257
0.743 0.257 0.743
0.743 0.743 0.257



PBE RbBaDyI6, optimized geometry; Fermi-level density of states = 0.00 states/eV/f.u.; formation energy from raw total energies = -1.5485 eV per atom
1.0
8.555 0.000 0.000
-4.277 7.409 0.000
0.000 0.000 15.420
Rb Ba Dy I
2 2 2 12
Direct
0.000 0.000 0.000
0.000 0.000 0.500
0.333 0.667 0.250
0.667 0.333 0.750
0.333 0.667 0.750
0.667 0.333 0.250
0.038 0.385 0.634
0.038 0.653 0.866
0.347 0.385 0.866
0.347 0.962 0.634
0.385 0.038 0.134
0.385 0.347 0.366
0.615 0.653 0.634
0.615 0.962 0.866
0.653 0.038 0.366
0.653 0.615 0.134
0.962 0.347 0.134
0.962 0.615 0.366



PBE BaDyTlI6, optimized geometry; Fermi-level density of states = 0.00 states/eV/f.u.; formation energy from raw total energies = -1.3499 eV per atom
1.0
8.464 0.000 0.000
-4.232 7.330 0.000
0.000 0.000 14.709
Ba Dy Tl I
2 2 2 12
Direct
0.333 0.667 0.250
0.667 0.333 0.750
0.333 0.667 0.750
0.667 0.333 0.250
0.000 0.000 0.000
0.000 0.000 0.500
0.038 0.377 0.629
0.038 0.662 0.871
0.338 0.377 0.871
0.338 0.962 0.629
0.377 0.038 0.129
0.377 0.338 0.371
0.623 0.662 0.629
0.623 0.962 0.871
0.662 0.038 0.371
0.662 0.623 0.129
0.962 0.338 0.129
0.962 0.623 0.371



PBE BaDyIn2, optimized geometry; distance to the lowest polymorph of the same formula = 153 meV/atom; Fermi-level density of states = 4.17 states/eV/f.u.; energy relative to the elements = -106 kJ/mol of formula units
1.0
5.777 0.000 0.000
0.000 5.777 0.000
0.000 0.000 3.859
Ba Dy In
1 1 2
Direct
0.000 0.000 0.000
0.500 0.500 0.000
0.000 0.500 0.500
0.500 0.000 0.500



PBE BaDyIn2, optimized geometry; distance to the lowest polymorph of the same formula = 0 meV/atom; Fermi-level density of states = 2.37 states/eV/f.u.; energy relative to the elements = -165 kJ/mol of formula units
1.0
3.966 0.000 0.000
0.000 3.966 0.000
0.000 0.000 8.176
Ba Dy In
1 1 2
Direct
0.000 0.000 0.000
0.000 0.000 0.500
0.500 0.500 0.295
0.500 0.500 0.705



PBE BaDy2In3, optimized geometry; Fermi-level density of states = 3.59 states/eV/f.u.; energy relative to the elements = -251 kJ/mol of formula units
1.0
3.871 0.000 0.000
0.000 3.871 0.000
0.000 0.000 12.081
Ba Dy In
1 2 3
Direct
0.000 0.000 0.000
0.000 0.000 0.349
0.000 0.000 0.651
0.500 0.500 0.204
0.500 0.500 0.500
0.500 0.500 0.796



PBE BaDyIn2, optimized geometry; distance to the lowest polymorph of the same formula = 236 meV/atom; Fermi-level density of states = 4.50 states/eV/f.u.; energy relative to the elements = -74 kJ/mol of formula units
1.0
3.879 0.000 0.000
-1.940 3.360 0.000
0.000 0.000 31.204
Ba Dy In
3 3 6
Direct
0.000 0.000 0.000
0.333 0.667 0.667
0.667 0.333 0.333
0.000 0.000 0.500
0.333 0.667 0.167
0.667 0.333 0.833
0.000 0.000 0.242
0.000 0.000 0.758
0.333 0.667 0.424
0.333 0.667 0.909
0.667 0.333 0.091
0.667 0.333 0.576



PBE Ba3DyIn4, optimized geometry; Fermi-level density of states = 7.16 states/eV/f.u.; energy relative to the elements = -302 kJ/mol of formula units
1.0
4.083 0.000 0.000
0.000 4.083 0.000
0.000 0.000 17.035
Ba Dy In
3 1 4
Direct
0.000 0.000 0.000
0.000 0.000 0.265
0.000 0.000 0.735
0.000 0.000 0.500
0.500 0.500 0.130
0.500 0.500 0.405
0.500 0.500 0.595
0.500 0.500 0.870



PBE BaDyIn2, optimized geometry; distance to the lowest polymorph of the same formula = 124 meV/atom; Fermi-level density of states = 4.23 states/eV/f.u.; energy relative to the elements = -117 kJ/mol of formula units
1.0
8.035 0.000 0.000
0.000 8.035 0.000
0.000 0.000 8.035
Ba Dy In
4 4 8
Direct
0.000 0.000 0.000
0.000 0.500 0.500
0.500 0.000 0.500
0.500 0.500 0.000
0.000 0.000 0.500
0.000 0.500 0.000
0.500 0.000 0.000
0.500 0.500 0.500
0.250 0.250 0.250
0.250 0.250 0.750
0.250 0.750 0.250
0.250 0.750 0.750
0.750 0.250 0.250
0.750 0.250 0.750
0.750 0.750 0.250
0.750 0.750 0.750



| no. | uncorrected energy (eV/atom) | total moment (μB/cell) | calculated density (kg/m³) |
| --- | --- | --- | --- |
| 1 | -5.7647 | 0.0 | 6124 |
| 2 | -3.0527 | 0.3 | 9469 |
| 3 | -4.3514 | 0.0 | 6233 |
| 4 | -3.1566 | 0.0 | 8130 |
| 5 | -2.2424 | 0.0 | 7931 |
| 6 | -3.7000 | 0.0 | 7261 |
| 7 | -3.6885 | 0.1 | 7322 |
| 8 | -3.5040 | 0.0 | 6667 |
| 9 | -3.4419 | 0.0 | 6798 |
| 10 | -5.2414 | 0.0 | 6511 |
| 11 | -5.5299 | 0.0 | 5910 |
| 12 | -5.3846 | 0.0 | 6142 |
| 13 | -2.7080 | 0.8 | 5238 |
| 14 | -3.3640 | 0.0 | 4319 |
| 15 | -6.1067 | 0.0 | 5538 |
| 16 | -6.1519 | 0.0 | 6664 |
| 17 | -3.4144 | 0.0 | 3897 |
| 18 | -3.3713 | 0.0 | 4606 |
| 19 | -3.2761 | 0.0 | 6826 |
| 20 | -3.4288 | 0.0 | 6837 |
| 21 | -3.6573 | 0.0 | 7399 |
| 22 | -3.1931 | 0.0 | 6486 |
| 23 | -3.0561 | 0.0 | 6043 |
| 24 | -3.3045 | 0.0 | 6779 |